First-principles (PBE) data for a relaxed structure of PrSmGdTl, as listed in the Alexandria database.

Lattice parameters (Å, degrees): 5.5800 5.5800 5.5800 60.00 60.00 60.00
Last column: nearest neighbours and their distance in Å.
Positions (direct):
Tl1 0.0000 0.0000 0.0000  4 Pr 3.42, 4 Sm 3.42
Sm1 0.7500 0.7500 0.7500  4 Gd 3.42, 4 Tl 3.42
Gd1 0.5000 0.5000 0.5000  4 Sm 3.42, 4 Pr 3.42
Pr1 0.2500 0.2500 0.2500  4 Gd 3.42, 4 Tl 3.42

Values from the calculation:
calculated volume = 30.7 Å³/atom
energy of formation = -0.37 eV per formula unit
calculated density = 8.82 Mg/m³